Density functional theory data (GGA-PBE) for a geometry-optimized Cr3AgB structure. Values from VASP.

## Properties
SG: No. 221
Formation energy: 2.33 eV/f.u.
Crystal system: cubic
Total DFT energy (no corrections): -7.214 eV per atom
Offset from the most stable computed form: 0 meV per atom

```
&SYSTEM
  ibrav = 0, nat = 5, ntyp = 3
/
ATOMIC_SPECIES
Cr 52.00 Cr.upf
Ag 107.87 Ag.upf
B 10.81 B.upf
ATOMIC_POSITIONS crystal
Cr 0.0000 0.0000 0.5000
Cr 0.0000 0.5000 0.0000
Cr 0.5000 0.0000 0.0000
Ag 0.5000 0.5000 0.5000
B 0.0000 0.0000 0.0000
CELL_PARAMETERS angstrom
3.9483 0.0000 0.0000
0.0000 3.9483 0.0000
0.0000 0.0000 3.9483
```

***

Density functional theory data (GGA-PBE) for a geometry-optimized CrAgB3 structure. Values from VASP.

## Properties
SG: No. 221
Formation energy: 5.88 eV/f.u.
Crystal system: cubic
Total DFT energy (no corrections): -5.326 eV per atom
Offset from the most stable computed form: 0 meV per atom

```
&SYSTEM
  ibrav = 0, nat = 5, ntyp = 3
/
ATOMIC_SPECIES
Cr 52.00 Cr.upf
Ag 107.87 Ag.upf
B 10.81 B.upf
ATOMIC_POSITIONS crystal
Cr 0.0000 0.0000 0.0000
Ag 0.5000 0.5000 0.5000
B 0.0000 0.0000 0.5000
B 0.0000 0.5000 0.0000
B 0.5000 0.0000 0.0000
CELL_PARAMETERS angstrom
3.9248 0.0000 0.0000
0.0000 3.9248 0.0000
0.0000 0.0000 3.9248
```